# 1
Below is LiZrNiSb2 after structural relaxation, with properties calculated at the PBE level.

Calculated values
As for the crystal system: tetragonal. The calculation puts the spin magnetization at 0.0 μB per formula unit. The calculation puts the energy relative to the lowest polymorph listed for this composition at 0.0 meV/atom. The calculation puts the uncorrected formation energy at 0.024 eV per atom.

Unit cell a=4.9927 b=4.9927 c=4.1743 alpha=90.00 beta=90.00 gamma=90.00
With the nearest neighbours (Å) after each atom.
Space group P4/mmm (No. 123)
Inequivalent atoms, fractional coordinates:
Li  0.0000  0.0000  0.0000 (multiplicity 1)  2 Ni 2.09
Zr  0.5000  0.5000  0.0000 (multiplicity 1)  8 Sb 3.25, 4 Li 3.53
Ni  0.0000  0.0000  0.5000 (multiplicity 1)  2 Li 2.09
Sb  0.0000  0.5000  0.5000 (multiplicity 2)  2 Ni 2.50

---

# 2
Below is LiZrNiSb2 after structural relaxation, with properties calculated at the PBE level.

Calculated values
As for the crystal system: tetragonal. The calculation puts the spin magnetization at 1.0 μB per formula unit. The calculation puts the energy relative to the lowest polymorph listed for this composition at 933.8 meV/atom. The calculation puts the uncorrected formation energy at 0.958 eV per atom.

Unit cell a=5.4564 b=5.4564 c=5.1856 alpha=90.00 beta=90.00 gamma=90.00
With the nearest neighbours (Å) after each atom.
Space group P4/mmm (No. 123)
Inequivalent atoms, fractional coordinates:
Li  0.0000  0.0000  0.0000 (multiplicity 1)  2 Zr 2.59
Zr  0.0000  0.0000  0.5000 (multiplicity 1)  2 Li 2.59, 4 Sb 2.73
Ni  0.5000  0.5000  0.0000 (multiplicity 1)  8 Sb 3.76, 4 Li 3.86
Sb  0.0000  0.5000  0.5000 (multiplicity 2)  2 Zr 2.73

---

# 3
Below is LiScNi after structural relaxation, with properties calculated at the PBE level.

Calculated values
As for the crystal system: cubic. The formation energy comes out at 0.009 eV per atom. The calculation puts the spin magnetization at 0.0 μB per formula unit. The calculation puts the energy relative to the lowest polymorph listed for this composition at 203.8 meV/atom.

Unit cell a=6.0161 b=6.0161 c=6.0161 alpha=90.00 beta=90.00 gamma=90.00
With the nearest neighbours (Å) after each atom.
Space group F-43m (No. 216)
Inequivalent atoms, fractional coordinates:
Li  0.0000  0.0000  0.0000 (multiplicity 4)  4 Ni 2.61
Sc  0.0000  0.0000  0.5000 (multiplicity 4)  4 Ni 2.61
Ni  0.2500  0.2500  0.2500 (multiplicity 4)  4 Li 2.61, 4 Sc 2.61

---

# 4
Below is LiScNi after structural relaxation, with properties calculated at the PBE level.

Calculated values
As for the crystal system: cubic. The formation energy comes out at 0.360 eV per atom. The calculation puts the spin magnetization at 0.0 μB per formula unit. The calculation puts the energy relative to the lowest polymorph listed for this composition at 554.5 meV/atom.

Unit cell a=6.0554 b=6.0554 c=6.0554 alpha=90.00 beta=90.00 gamma=90.00
With the nearest neighbours (Å) after each atom.
Space group F-43m (No. 216)
Inequivalent atoms, fractional coordinates:
Li  0.0000  0.0000  0.0000 (multiplicity 4)  4 Sc 2.62
Sc  0.2500  0.2500  0.7500 (multiplicity 4)  4 Li 2.62, 4 Ni 2.62
Ni  0.0000  0.0000  0.5000 (multiplicity 4)  4 Sc 2.62

---

# 5
Below is LiSc3Ni8 after structural relaxation, with properties calculated at the PBE level.

Calculated values
As for the crystal system: trigonal. The formation energy comes out at -0.439 eV per atom. The calculation puts the spin magnetization at 0.0 μB per formula unit.

Unit cell a=4.8473 b=4.8473 c=23.7105 alpha=90.00 beta=90.00 gamma=120.00
With the nearest neighbours (Å) after each atom.
Space group R3m (No. 160, hexagonal axes)
Inequivalent atoms, fractional coordinates:
Li  0.0000  0.0000  0.0000 (multiplicity 3)  12 Ni 2.78-2.89, 4 Sc 2.87-2.91
Sc  0.0000  0.0000  0.3663 (multiplicity 3)  12 Ni 2.74-2.92, 3 Li 2.91, 1 Sc 3.05
Sc  0.0000  0.0000  0.4949 (multiplicity 3)  12 Ni 2.81-2.87, 4 Sc 3.04-3.05
Sc  0.0000  0.0000  0.8788 (multiplicity 3)  12 Ni 2.75-2.97, 1 Li 2.87, 3 Sc 3.04
Ni  0.0000  0.0000  0.1843 (multiplicity 3)  6 Ni 2.42
Ni  0.0000  0.0000  0.6841 (multiplicity 3)  6 Ni 2.42-2.43
Ni  0.0012  0.5006  0.4346 (multiplicity 9)  6 Ni 2.42-2.43
Ni  0.1682  0.3365  0.2673 (multiplicity 9)  6 Ni 2.40-2.45

---

# 6
Below is LiScNi2 after structural relaxation, with properties calculated at the PBE level.

Calculated values
As for the crystal system: tetragonal. The formation energy comes out at -0.235 eV per atom. The calculation puts the spin magnetization at 0.0 μB per formula unit.

Unit cell a=3.9175 b=3.9175 c=3.5472 alpha=90.00 beta=90.00 gamma=90.00
With the nearest neighbours (Å) after each atom.
Space group P4/mmm (No. 123)
Inequivalent atoms, fractional coordinates:
Li  0.0000  0.0000  0.0000 (multiplicity 1)  8 Ni 2.64, 4 Sc 2.77
Sc  0.5000  0.5000  0.0000 (multiplicity 1)  8 Ni 2.64, 4 Li 2.77
Ni  0.0000  0.5000  0.5000 (multiplicity 2)  4 Sc 2.64, 4 Li 2.64, 4 Ni 2.77

---

# 7
Below is LiScNi2 after structural relaxation, with properties calculated at the PBE level.

Calculated values
As for the crystal system: orthorhombic. The formation energy comes out at -0.210 eV per atom. The calculation puts the spin magnetization at 0.0 μB per formula unit.

Unit cell a=3.7216 b=3.7394 c=7.7854 alpha=90.00 beta=90.00 gamma=90.00
With the nearest neighbours (Å) after each atom.
Space group Imm2 (No. 44)
Inequivalent atoms, fractional coordinates:
Li  0.0000  0.0000  0.0000 (multiplicity 2)  8 Ni 2.64-2.70, 4 Sc 2.70
Sc  0.0000  0.5000  0.2493 (multiplicity 2)  8 Ni 2.64-2.70, 4 Li 2.70
Ni  0.0000  0.0000  0.4991 (multiplicity 2)  4 Li 2.64, 4 Ni 2.69-2.70, 4 Sc 2.69-2.70
Ni  0.0000  0.5000  0.7498 (multiplicity 2)  4 Sc 2.64, 4 Ni 2.69-2.70, 4 Li 2.69-2.70

---

# 8
Below is Li3ScNi8 after structural relaxation, with properties calculated at the PBE level.

Calculated values
As for the crystal system: trigonal. The formation energy comes out at -0.191 eV per atom. The calculation puts the spin magnetization at 0.0 μB per formula unit.

Unit cell a=4.7631 b=4.7631 c=23.2523 alpha=90.00 beta=90.00 gamma=120.00
With the nearest neighbours (Å) after each atom.
Space group R3m (No. 160, hexagonal axes)
Inequivalent atoms, fractional coordinates:
Li  0.0000  0.0000  0.0000 (multiplicity 3)  12 Ni 2.77-2.79, 4 Li 2.78-2.88
Li  0.0000  0.0000  0.1196 (multiplicity 3)  12 Ni 2.72-2.91, 1 Li 2.78, 3 Sc 2.96
Li  0.0000  0.0000  0.6292 (multiplicity 3)  12 Ni 2.71-2.83, 3 Li 2.88, 1 Sc 3.00
Sc  0.0000  0.0000  0.5002 (multiplicity 3)  12 Ni 2.78-2.80, 4 Li 2.96-3.00
Ni  0.0000  0.0000  0.3130 (multiplicity 3)  6 Ni 2.37
Ni  0.0000  0.0000  0.8127 (multiplicity 3)  6 Ni 2.37-2.39
Ni  0.0002  0.5001  0.0628 (multiplicity 9)  6 Ni 2.37-2.38
Ni  0.9997  0.4999  0.5631 (multiplicity 9)  6 Ni 2.37-2.39

---

# 9
Below is LiScNi after structural relaxation, with properties calculated at the PBE level.

Calculated values
As for the crystal system: trigonal. The formation energy comes out at -0.060 eV per atom. The calculation puts the spin magnetization at 0.0 μB per formula unit. The calculation puts the energy relative to the lowest polymorph listed for this composition at 135.0 meV/atom.

Unit cell a=4.1902 b=4.1902 c=3.0881 alpha=90.00 beta=90.00 gamma=120.00
With the nearest neighbours (Å) after each atom.
Space group P3m1 (No. 156)
Inequivalent atoms, fractional coordinates:
Li  0.0000  0.0000  0.0000 (multiplicity 1)  3 Ni 2.44
Sc  0.3333  0.6667  0.5546 (multiplicity 1)  6 Li 2.78-2.96, 6 Ni 2.78-2.96, 2 Sc 3.09
Ni  0.6667  0.3333  0.1082 (multiplicity 1)  3 Li 2.44

---

# 10
Below is LiScNi2 after structural relaxation, with properties calculated at the PBE level.

Calculated values
As for the crystal system: tetragonal. The formation energy comes out at -0.005 eV per atom. The calculation puts the spin magnetization at 0.0 μB per formula unit.

Unit cell a=6.5934 b=6.5934 c=5.2105 alpha=90.00 beta=90.00 gamma=90.00
With the nearest neighbours (Å) after each atom.
Space group I-42d (No. 122)
Inequivalent atoms, fractional coordinates:
Li  0.0000  0.0000  0.0000 (multiplicity 4)  4 Ni 2.34, 2 Sc 2.61
Sc  0.0000  0.0000  0.5000 (multiplicity 4)  4 Ni 2.51, 2 Li 2.61
Ni  0.2310  0.2500  0.1250 (multiplicity 8)  2 Li 2.34, 2 Sc 2.51

---

# 11
Below is Li2ScNi2 after structural relaxation, with properties calculated at the PBE level.

Calculated values
As for the crystal system: tetragonal. The formation energy comes out at -0.091 eV per atom. The calculation puts the spin magnetization at 0.0 μB per formula unit. The calculation puts the energy relative to the lowest polymorph listed for this composition at 0.0 meV/atom.

Unit cell a=3.4982 b=3.4982 c=12.1153 alpha=90.00 beta=90.00 gamma=90.00
With the nearest neighbours (Å) after each atom.
Space group I4/mmm (No. 139)
Inequivalent atoms, fractional coordinates:
Li  0.0000  0.5000  0.2500 (multiplicity 4)  4 Li 2.47, 4 Ni 2.56
Sc  0.0000  0.0000  0.0000 (multiplicity 2)  8 Ni 2.73
Ni  0.0000  0.0000  0.4039 (multiplicity 4)  1 Ni 2.33, 4 Li 2.56

---

# 12
Below is LiSc5Ni4 after structural relaxation, with properties calculated at the PBE level.

Calculated values
As for the crystal system: tetragonal. The formation energy comes out at -0.375 eV per atom. The calculation puts the spin magnetization at 0.0 μB per formula unit.

Unit cell a=3.1709 b=3.1709 c=17.0842 alpha=90.00 beta=90.00 gamma=90.00
With the nearest neighbours (Å) after each atom.
Space group P4/mmm (No. 123)
Inequivalent atoms, fractional coordinates:
Li  0.0000  0.0000  0.0000 (multiplicity 1)  8 Sc 3.17, 4 Li 3.17
Sc  0.5000  0.5000  0.1308 (multiplicity 2)  4 Ni 2.68
Sc  0.5000  0.5000  0.3133 (multiplicity 2)  8 Ni 2.74-2.78
Sc  0.5000  0.5000  0.5000 (multiplicity 1)  8 Ni 2.76
Ni  0.0000  0.0000  0.2167 (multiplicity 2)  8 Sc 2.68-2.78
Ni  0.0000  0.0000  0.4060 (multiplicity 2)  8 Sc 2.74-2.76

---

spin magnetization of number 11 (Li2ScNi2)?
0.0 μB per formula unit

---

The highest spin magnetization belongs to which entry?
number 2